# LiPr2B3Pt12 (GGA-PBE, relaxed)
data_LiPr2B3Pt12
_chemical_formula_sum 'Li1 Pr2 B3 Pt12'
_cell_length_a 7.3143
_cell_length_b 7.3143
_cell_length_c 7.3143
_cell_angle_alpha 66.11
_cell_angle_beta 66.11
_cell_angle_gamma 66.11
_space_group_name_H-M_alt 'P 1'
_space_group_IT_number 1
loop_
_space_group_symop_operation_xyz
'x,y,z'
loop_
_atom_site_label
_atom_site_type_symbol
_atom_site_fract_x
_atom_site_fract_y
_atom_site_fract_z
_atom_site_occupancy
Li1 Li 0.0000 0.0000 0.0000 1
Pr1 Pr 0.3894 0.3894 0.3894 1
Pr2 Pr 0.6106 0.6106 0.6106 1
B1 B 0.0000 0.0000 0.5000 1
B2 B 0.0000 0.5000 0.0000 1
B3 B 0.5000 0.0000 0.0000 1
Pt1 Pt 0.0887 0.6756 0.6756 1
Pt2 Pt 0.1178 0.1178 0.6314 1
Pt3 Pt 0.1178 0.6314 0.1178 1
Pt4 Pt 0.3244 0.3244 0.9113 1
Pt5 Pt 0.3244 0.9113 0.3244 1
Pt6 Pt 0.3686 0.8822 0.8822 1
Pt7 Pt 0.6314 0.1178 0.1178 1
Pt8 Pt 0.6756 0.0887 0.6756 1
Pt9 Pt 0.6756 0.6756 0.0887 1
Pt10 Pt 0.8822 0.3686 0.8822 1
Pt11 Pt 0.8822 0.8822 0.3686 1
Pt12 Pt 0.9113 0.3244 0.3244 1
# - energy relative to the elements (eV per atom) = -0.455